Below is a relaxed structure of Hg2RhW, with properties calculated at the PBE-GGA level.

## Properties
DOS(E_F) (states/eV per atom): 0.741
Formation energy (kJ/mol of formula units): 249
Energy above the most stable polymorph in this dataset (kJ/mol of atoms): 39.9
Symmetry: Pmmm (47)
Spin magnetization (μB per formula unit): 0.0
Total energy (eV/atom): -4.5824

Cell: 2.933 4.960 4.968 Å, 90.00 90.00 90.00°
Positions (direct):
Hg 0.000 0.000 0.000
Hg 0.500 0.000 0.500
Rh 0.000 0.500 0.500
W 0.500 0.500 0.000

---

Below is a relaxed structure of RbMn2TeS, with properties calculated at the PBE-GGA level.

## Properties
DOS(E_F) (states/eV per atom): 1.874
Formation energy without anion corrections (eV per formula unit): 9.6
Symmetry: P4/mmm (123)
Spin magnetization (μB per formula unit): 13.0
Total energy (eV/atom): -3.3963

Cell: 6.261 6.261 6.278 Å, 90.00 90.00 90.00°
Positions (direct):
Rb 0.000 0.000 0.000
Mn 0.000 0.500 0.000
Mn 0.500 0.000 0.000
Te 0.000 0.000 0.500
S 0.500 0.500 0.500